{"formula": "TcAg2", "functional": "PBE", "state": "relaxed", "delta_e_f_ev_per_atom": 0.50, "e_above_lowest_polymorph_mev_per_atom": 135, "mass_density_g_cm3": 10.24, "spacegroup": "No. 141", "vol_a3_per_fu": 51, "energy_ev_per_cell": -29.138, "lattice_angstrom": [[-1.341, 1.341, 14.150], [1.341, -1.341, 14.150], [1.341, 1.341, -14.150]], "species": ["Tc", "Tc", "Ag", "Ag", "Ag", "Ag"], "fractional_positions": [[0.000, 0.000, 0.000], [0.750, 0.250, 0.500], [0.580, 0.580, 0.000], [0.420, 0.420, 0.000], [0.170, 0.670, 0.500], [0.330, 0.830, 0.500]]}